A plane-wave DFT calculation with GGA-PBE was carried out for LaPu2ScSe4 after structural relaxation.

```
LaPu2ScSe4
1.0
-0.811 2.204 3.375
-6.429 -3.090 0.473
4.768 -3.899 3.693
Se La Pu Sc
4 1 2 1
Cartesian
2.062 -3.643 2.875
-3.723 -3.347 1.291
-1.720 -4.232 4.855
-0.753 -0.553 2.685
-3.620 -0.443 1.924
-0.831 -3.495 2.083
1.978 -0.847 3.534
0.000 0.000 0.000
```

The crystal system is monoclinic. The formation energy (no corrections) comes out at -13.090 eV/f.u.